1.
A plane-wave DFT calculation with PBE was carried out for a geometry-optimized ThZn2Ge structure.

Cell lengths 4.2042, 8.8292, 9.0426 Å; angles 90.00, 103.44, 90.00 degrees
Closest atoms and distances in Å follow each position.
Element x y z (fractional)
Th1 0.5000 0.5000 0.0000  10 Zn 3.22-3.37, 4 Ge 3.29
Th2 0.5000 0.0000 0.0000  10 Zn 3.22-3.37, 4 Ge 3.29
Th3 0.2937 0.7500 0.5874  4 Ge 3.11, 8 Zn 3.20-3.34
Th4 0.7063 0.2500 0.4126  4 Ge 3.11, 8 Zn 3.20-3.34
Zn1 0.3259 0.3843 0.6518  1 Zn 2.37, 2 Ge 2.49
Zn2 0.6741 0.6157 0.3482  1 Zn 2.37, 2 Ge 2.49
Zn3 0.3259 0.1157 0.6518  1 Zn 2.37, 2 Ge 2.49
Zn4 0.0818 0.7500 0.1637  1 Zn 2.47, 2 Ge 2.64
Zn5 0.6741 0.8843 0.3482  1 Zn 2.37, 2 Ge 2.49
Zn6 0.9416 0.7500 0.8831  1 Zn 2.47, 2 Ge 2.50
Zn7 0.0584 0.2500 0.1169  1 Zn 2.47, 2 Ge 2.50
Zn8 0.9182 0.2500 0.8363  1 Zn 2.47, 2 Ge 2.64
Ge1 0.1432 0.4772 0.2865  4 Zn 2.49-2.64
Ge2 0.8568 0.9772 0.7135  4 Zn 2.49-2.64
Ge3 0.1432 0.0228 0.2865  4 Zn 2.49-2.64
Ge4 0.8568 0.5228 0.7135  4 Zn 2.49-2.64

Calculated values
Formation enthalpy at 0 K (eV per formula unit): -1.5
Space-group type: Cmcm
Theoretical density (g/cm³): 8.9
Fermi-level density of states (states/eV/f.u.): 1.58
Offset from the most stable computed form (meV/atom): 0

***

2.
A plane-wave DFT calculation with PBE was carried out for a geometry-optimized Ac3Zn3Ni8 structure.

Cell lengths 4.1354, 8.1944, 8.1944 Å; angles 72.24, 75.38, 75.38 degrees
Closest atoms and distances in Å follow each position.
Element x y z (fractional)
Ni1 0.3938 0.8862 0.3262  3 Zn 2.46-2.51, 4 Ni 2.47-2.67
Ni2 0.3938 0.3262 0.8862  3 Zn 2.46-2.51, 4 Ni 2.47-2.67
Ni3 0.6062 0.6738 0.1138  3 Zn 2.46-2.51, 4 Ni 2.47-2.67
Ni4 0.1980 0.0970 0.5070  5 Ni 2.47-2.60, 1 Zn 2.57
Ni5 0.1980 0.5070 0.0970  5 Ni 2.47-2.60, 1 Zn 2.57
Ni6 0.8020 0.9030 0.4930  5 Ni 2.47-2.60, 1 Zn 2.57
Ni7 0.6062 0.1138 0.6738  3 Zn 2.46-2.51, 4 Ni 2.47-2.67
Ni8 0.8020 0.4930 0.9030  5 Ni 2.47-2.60, 1 Zn 2.57
Ac1 0.5000 0.5000 0.5000  4 Ni 3.02, 4 Zn 3.35
Ac2 0.2058 0.7942 0.7942  6 Ni 2.85-3.11
Ac3 0.7942 0.2058 0.2058  6 Ni 2.85-3.11
Zn1 0.5000 0.0000 0.0000  4 Ni 2.51
Zn2 0.0000 0.7724 0.2276  6 Ni 2.46-2.57
Zn3 0.0000 0.2276 0.7724  6 Ni 2.46-2.57

Calculated values
Formation enthalpy at 0 K (eV per formula unit): -3.6
Space-group type: Immm
Theoretical density (g/cm³): 8.9
Fermi-level density of states (states/eV/f.u.): 10.36

***

3.
A plane-wave DFT calculation with PBE was carried out for a geometry-optimized Dy6PtSe2S3 structure.

Cell lengths 3.9346, 8.1237, 8.9868 Å; angles 102.78, 102.64, 90.00 degrees
Closest atoms and distances in Å follow each position.
Element x y z (fractional)
Dy1 0.9970 0.2433 0.9940  2 Pt 2.80, 3 S 2.86, 1 Se 2.93
Dy2 0.3375 0.4059 0.6750  3 S 2.75-2.78, 3 Se 2.88-2.89
Dy3 0.0030 0.7567 0.0060  2 Pt 2.80, 3 S 2.86, 1 Se 2.93
Dy4 0.6625 0.5941 0.3250  3 S 2.75-2.78, 3 Se 2.88-2.89
Dy5 0.6663 0.0737 0.3325  3 S 2.78-2.79, 1 Pt 2.84, 2 Se 2.91
Dy6 0.3337 0.9263 0.6675  3 S 2.78-2.79, 1 Pt 2.84, 2 Se 2.91
S1 0.8297 0.1657 0.6594  6 Dy 2.75-2.86
S2 0.5000 0.5000 0.0000  6 Dy 2.78-2.86
S3 0.1703 0.8343 0.3406  6 Dy 2.75-2.86
Se1 0.1683 0.3386 0.3367  6 Dy 2.88-2.93
Se2 0.8317 0.6614 0.6633  6 Dy 2.88-2.93
Pt1 0.5000 0.0000 0.0000  6 Dy 2.80-2.84

Calculated values
Space-group type: C2/m
Theoretical density (g/cm³): 8.7
Fermi-level density of states (states/eV/f.u.): 4.44
Formation energy from raw total energies (eV per atom): -1.78

***

Please write out number 1 again, unchanged.
A plane-wave DFT calculation with PBE was carried out for a geometry-optimized ThZn2Ge structure.

Cell lengths 4.2042, 8.8292, 9.0426 Å; angles 90.00, 103.44, 90.00 degrees
Closest atoms and distances in Å follow each position.
Element x y z (fractional)
Th1 0.5000 0.5000 0.0000  10 Zn 3.22-3.37, 4 Ge 3.29
Th2 0.5000 0.0000 0.0000  10 Zn 3.22-3.37, 4 Ge 3.29
Th3 0.2937 0.7500 0.5874  4 Ge 3.11, 8 Zn 3.20-3.34
Th4 0.7063 0.2500 0.4126  4 Ge 3.11, 8 Zn 3.20-3.34
Zn1 0.3259 0.3843 0.6518  1 Zn 2.37, 2 Ge 2.49
Zn2 0.6741 0.6157 0.3482  1 Zn 2.37, 2 Ge 2.49
Zn3 0.3259 0.1157 0.6518  1 Zn 2.37, 2 Ge 2.49
Zn4 0.0818 0.7500 0.1637  1 Zn 2.47, 2 Ge 2.64
Zn5 0.6741 0.8843 0.3482  1 Zn 2.37, 2 Ge 2.49
Zn6 0.9416 0.7500 0.8831  1 Zn 2.47, 2 Ge 2.50
Zn7 0.0584 0.2500 0.1169  1 Zn 2.47, 2 Ge 2.50
Zn8 0.9182 0.2500 0.8363  1 Zn 2.47, 2 Ge 2.64
Ge1 0.1432 0.4772 0.2865  4 Zn 2.49-2.64
Ge2 0.8568 0.9772 0.7135  4 Zn 2.49-2.64
Ge3 0.1432 0.0228 0.2865  4 Zn 2.49-2.64
Ge4 0.8568 0.5228 0.7135  4 Zn 2.49-2.64

Calculated values
Formation enthalpy at 0 K (eV per formula unit): -1.5
Space-group type: Cmcm
Theoretical density (g/cm³): 8.9
Fermi-level density of states (states/eV/f.u.): 1.58
Offset from the most stable computed form (meV/atom): 0

***

Please write out number 3 again, unchanged.
A plane-wave DFT calculation with PBE was carried out for a geometry-optimized Dy6PtSe2S3 structure.

Cell lengths 3.9346, 8.1237, 8.9868 Å; angles 102.78, 102.64, 90.00 degrees
Closest atoms and distances in Å follow each position.
Element x y z (fractional)
Dy1 0.9970 0.2433 0.9940  2 Pt 2.80, 3 S 2.86, 1 Se 2.93
Dy2 0.3375 0.4059 0.6750  3 S 2.75-2.78, 3 Se 2.88-2.89
Dy3 0.0030 0.7567 0.0060  2 Pt 2.80, 3 S 2.86, 1 Se 2.93
Dy4 0.6625 0.5941 0.3250  3 S 2.75-2.78, 3 Se 2.88-2.89
Dy5 0.6663 0.0737 0.3325  3 S 2.78-2.79, 1 Pt 2.84, 2 Se 2.91
Dy6 0.3337 0.9263 0.6675  3 S 2.78-2.79, 1 Pt 2.84, 2 Se 2.91
S1 0.8297 0.1657 0.6594  6 Dy 2.75-2.86
S2 0.5000 0.5000 0.0000  6 Dy 2.78-2.86
S3 0.1703 0.8343 0.3406  6 Dy 2.75-2.86
Se1 0.1683 0.3386 0.3367  6 Dy 2.88-2.93
Se2 0.8317 0.6614 0.6633  6 Dy 2.88-2.93
Pt1 0.5000 0.0000 0.0000  6 Dy 2.80-2.84

Calculated values
Space-group type: C2/m
Theoretical density (g/cm³): 8.7
Fermi-level density of states (states/eV/f.u.): 4.44
Formation energy from raw total energies (eV per atom): -1.78